PuCoMo | PBE-GGA | optimized geometry

Output
- DFT formation energy: 1.07 eV/atom
- Symmetry: F-43m
- ΔE to the lowest computed polymorph: 475 meV per atom
- Total moment: 0.00 μB per formula unit

```
PuCoMo
1.0
0.000 2.977 2.977
2.977 0.000 2.977
2.977 2.977 0.000
Pu Co Mo
1 1 1
Direct
0.000 0.000 0.000
0.250 0.250 0.250
0.750 0.750 0.750
```

PuCoMo | PBE-GGA | optimized geometry

Output
- DFT formation energy: 0.60 eV/atom
- Symmetry: F-43m
- ΔE to the lowest computed polymorph: 0 meV per atom
- Total moment: 4.54 μB per formula unit

```
PuCoMo
1.0
0.000 2.968 2.968
2.968 0.000 2.968
2.968 2.968 0.000
Pu Co Mo
1 1 1
Direct
0.000 0.000 0.000
0.500 0.500 0.500
0.750 0.750 0.750
```

RbCoMo | PBE-GGA | optimized geometry

Output
- Symmetry: F-43m
- ΔE to the lowest computed polymorph: 0 meV per atom
- Total moment: 1.43 μB per formula unit

```
RbCoMo
1.0
0.000 3.241 3.241
3.241 0.000 3.241
3.241 3.241 0.000
Rb Co Mo
1 1 1
Direct
0.000 0.000 0.000
0.750 0.750 0.750
0.500 0.500 0.500
```

RbCoMo | PBE-GGA | optimized geometry

Output
- Symmetry: F-43m
- ΔE to the lowest computed polymorph: 795 meV per atom
- Total moment: 5.90 μB per formula unit

```
RbCoMo
1.0
0.000 3.479 3.479
3.479 0.000 3.479
3.479 3.479 0.000
Rb Co Mo
1 1 1
Direct
0.000 0.000 0.000
0.750 0.750 0.750
0.250 0.250 0.250
```

TlCoReMo | PBE-GGA | optimized geometry

Output
- Symmetry: F-43m
- ΔE to the lowest computed polymorph: 0 meV per atom
- Total moment: 1.21 μB per formula unit

```
TlCoReMo
1.0
0.000 3.168 3.168
3.168 0.000 3.168
3.168 3.168 0.000
Tl Co Re Mo
1 1 1 1
Direct
0.000 0.000 0.000
0.250 0.250 0.250
0.750 0.750 0.750
0.500 0.500 0.500
```

ZnCoReMo | PBE-GGA | optimized geometry

Output
- DFT formation energy: 0.19 eV/atom
- Symmetry: F-43m
- ΔE to the lowest computed polymorph: 0 meV per atom
- Total moment: 0.08 μB per formula unit

```
ZnCoReMo
1.0
0.000 3.022 3.022
3.022 0.000 3.022
3.022 3.022 0.000
Zn Co Re Mo
1 1 1 1
Direct
0.000 0.000 0.000
0.250 0.250 0.250
0.750 0.750 0.750
0.500 0.500 0.500
```

CoMo2S4 | PBE-GGA | optimized geometry

Output
- Symmetry: C2/c
- Final energy: -198.17 eV/cell
- Total moment: 0.19 μB per formula unit

```
CoMo2S4
1.0
5.922 -3.201 0.000
5.922 3.201 0.000
-5.203 0.000 11.219
Co Mo S
4 8 16
Direct
0.125 0.375 0.250
0.375 0.125 0.750
0.625 0.875 0.250
0.875 0.625 0.750
0.033 0.784 0.011
0.216 0.967 0.489
0.283 0.534 0.511
0.466 0.717 0.989
0.534 0.283 0.011
0.717 0.466 0.489
0.784 0.033 0.511
0.967 0.216 0.989
0.089 0.839 0.847
0.113 0.363 0.882
0.137 0.387 0.619
0.161 0.911 0.653
0.339 0.589 0.347
0.363 0.113 0.382
0.387 0.137 0.119
0.411 0.661 0.153
0.589 0.339 0.847
0.613 0.863 0.881
0.637 0.887 0.618
0.661 0.411 0.653
0.839 0.089 0.347
0.863 0.613 0.381
0.887 0.637 0.118
0.911 0.161 0.153
```

CoMo2S4 | PBE-GGA | optimized geometry

Output
- Symmetry: C2/m
- Final energy: -49.54 eV/cell
- Total moment: 0.22 μB per formula unit

```
CoMo2S4
1.0
6.187 -1.605 0.000
6.187 1.605 0.000
-2.489 0.000 5.369
Co Mo S
1 2 4
Direct
0.000 0.000 0.000
0.261 0.261 0.317
0.739 0.739 0.683
0.098 0.098 0.429
0.368 0.368 0.025
0.632 0.632 0.975
0.902 0.902 0.571
```

CoMo2S4 | PBE-GGA | optimized geometry

Output
- Symmetry: Cc
- Final energy: -198.14 eV/cell
- Total moment: 0.23 μB per formula unit

```
CoMo2S4
1.0
5.921 -3.205 0.000
5.921 3.205 0.000
-5.196 0.000 11.196
Co Mo S
4 8 16
Direct
0.124 0.876 0.500
0.380 0.629 0.000
0.629 0.380 0.500
0.876 0.124 0.000
0.043 0.275 0.261
0.226 0.465 0.740
0.275 0.043 0.761
0.465 0.226 0.240
0.531 0.794 0.262
0.709 0.975 0.739
0.794 0.531 0.762
0.975 0.709 0.239
0.091 0.336 0.097
0.117 0.860 0.131
0.136 0.889 0.867
0.166 0.416 0.905
0.336 0.091 0.597
0.367 0.616 0.634
0.389 0.643 0.370
0.416 0.166 0.405
0.595 0.844 0.100
0.616 0.367 0.134
0.643 0.389 0.870
0.657 0.912 0.901
0.844 0.595 0.600
0.860 0.117 0.631
0.889 0.136 0.367
0.912 0.657 0.401
```

Co2SbMo | PBE-GGA | optimized geometry

Output
- Symmetry: F-43m
- Final energy: -28.07 eV/cell
- Total moment: 0.02 μB per formula unit

```
Co2SbMo
1.0
0.000 3.051 3.051
3.051 0.000 3.051
3.051 3.051 0.000
Co Sb Mo
2 1 1
Direct
0.000 0.000 0.000
0.250 0.250 0.250
0.500 0.500 0.500
0.750 0.750 0.750
```

ScCoSbMo | PBE-GGA | optimized geometry

Output
- Symmetry: F-43m
- ΔE to the lowest computed polymorph: 0 meV per atom
- Total moment: 0.84 μB per formula unit

```
ScCoSbMo
1.0
0.000 3.198 3.198
3.198 0.000 3.198
3.198 3.198 0.000
Sc Co Sb Mo
1 1 1 1
Direct
0.000 0.000 0.000
0.750 0.750 0.750
0.500 0.500 0.500
0.250 0.250 0.250
```

ZnCoSbMo | PBE-GGA | optimized geometry

Output
- Symmetry: F-43m
- ΔE to the lowest computed polymorph: 0 meV per atom
- Total moment: 0.56 μB per formula unit

```
ZnCoSbMo
1.0
0.000 3.124 3.124
3.124 0.000 3.124
3.124 3.124 0.000
Zn Co Sb Mo
1 1 1 1
Direct
0.000 0.000 0.000
0.750 0.750 0.750
0.500 0.500 0.500
0.250 0.250 0.250
```

Sc2Co2Mo3 | PBE-GGA | optimized geometry

Output
- DFT formation energy: -0.02 eV/atom
- Symmetry: R3m
- Total moment: 1.60 μB per formula unit

```
Sc2Co2Mo3
1.0
2.194 1.267 6.539
-2.194 1.267 6.539
0.000 -2.534 6.539
Sc Co Mo
2 2 3
Direct
0.000 0.000 0.000
0.423 0.423 0.423
0.146 0.146 0.146
0.708 0.708 0.708
0.273 0.273 0.273
0.567 0.567 0.567
0.847 0.847 0.847
```

ScCoSiMo | PBE-GGA | optimized geometry

Output
- Symmetry: F-43m
- ΔE to the lowest computed polymorph: 0 meV per atom
- Total moment: 0.01 μB per formula unit

```
ScCoSiMo
1.0
0.000 3.040 3.040
3.040 0.000 3.040
3.040 3.040 0.000
Sc Co Si Mo
1 1 1 1
Direct
0.000 0.000 0.000
0.750 0.750 0.750
0.500 0.500 0.500
0.250 0.250 0.250
```

ScCoSnMo | PBE-GGA | optimized geometry

Output
- Symmetry: F-43m
- ΔE to the lowest computed polymorph: 0 meV per atom
- Total moment: 1.80 μB per formula unit

```
ScCoSnMo
1.0
0.000 3.219 3.219
3.219 0.000 3.219
3.219 3.219 0.000
Sc Co Sn Mo
1 1 1 1
Direct
0.000 0.000 0.000
0.750 0.750 0.750
0.500 0.500 0.500
0.250 0.250 0.250
```

ScZnCoMo | PBE-GGA | optimized geometry

Output
- DFT formation energy: 0.17 eV/atom
- Symmetry: F-43m
- ΔE to the lowest computed polymorph: 0 meV per atom
- Total moment: 2.00 μB per formula unit

```
ScZnCoMo
1.0
0.000 3.108 3.108
3.108 0.000 3.108
3.108 3.108 0.000
Sc Zn Co Mo
1 1 1 1
Direct
0.000 0.000 0.000
0.250 0.250 0.250
0.500 0.500 0.500
0.750 0.750 0.750
```

CoSiMo2 | PBE-GGA | optimized geometry

Output
- Symmetry: F-43m
- Final energy: -34.37 eV/cell
- Total moment: 0.83 μB per formula unit

```
CoSiMo2
1.0
0.000 3.007 3.007
3.007 0.000 3.007
3.007 3.007 0.000
Co Si Mo
1 1 2
Direct
0.000 0.000 0.000
0.750 0.750 0.750
0.250 0.250 0.250
0.500 0.500 0.500
```

Co2SiMo | PBE-GGA | optimized geometry

Output
- Symmetry: F-43m
- Final energy: -31.04 eV/cell
- Total moment: 0.01 μB per formula unit

```
Co2SiMo
1.0
0.000 2.881 2.881
2.881 0.000 2.881
2.881 2.881 0.000
Co Si Mo
2 1 1
Direct
0.000 0.000 0.000
0.250 0.250 0.250
0.500 0.500 0.500
0.750 0.750 0.750
```

Co2Si3Mo2 | PBE-GGA | optimized geometry

Output
- Symmetry: R3m
- Final energy: -52.60 eV/cell
- Total moment: 1.39 μB per formula unit

```
Co2Si3Mo2
1.0
2.029 1.171 6.559
-2.029 1.171 6.559
0.000 -2.342 6.559
Co Si Mo
2 3 2
Direct
0.000 0.000 0.000
0.494 0.494 0.494
0.127 0.127 0.127
0.374 0.374 0.374
0.876 0.876 0.876
0.255 0.255 0.255
0.742 0.742 0.742
```

CoSiMoW | PBE-GGA | optimized geometry

Output
- Symmetry: F-43m
- ΔE to the lowest computed polymorph: 0 meV per atom
- Total moment: 0.84 μB per formula unit

```
CoSiMoW
1.0
0.000 3.017 3.017
3.017 0.000 3.017
3.017 3.017 0.000
Co Si Mo W
1 1 1 1
Direct
0.000 0.000 0.000
0.750 0.750 0.750
0.500 0.500 0.500
0.250 0.250 0.250
```

YCoSiMo | PBE-GGA | optimized geometry

Output
- Symmetry: F-43m
- ΔE to the lowest computed polymorph: 283 meV per atom
- Total moment: 3.64 μB per formula unit

```
YCoSiMo
1.0
0.000 3.229 3.229
3.229 0.000 3.229
3.229 3.229 0.000
Y Co Si Mo
1 1 1 1
Direct
0.000 0.000 0.000
0.500 0.500 0.500
0.250 0.250 0.250
0.750 0.750 0.750
```

YCoSiMo | PBE-GGA | optimized geometry

Output
- Symmetry: F-43m
- ΔE to the lowest computed polymorph: 0 meV per atom
- Total moment: 0.02 μB per formula unit

```
YCoSiMo
1.0
0.000 3.147 3.147
3.147 0.000 3.147
3.147 3.147 0.000
Y Co Si Mo
1 1 1 1
Direct
0.000 0.000 0.000
0.750 0.750 0.750
0.500 0.500 0.500
0.250 0.250 0.250
```

ZnCoSiMo | PBE-GGA | optimized geometry

Output
- Symmetry: F-43m
- ΔE to the lowest computed polymorph: 0 meV per atom
- Total moment: 0.41 μB per formula unit

```
ZnCoSiMo
1.0
0.000 2.956 2.956
2.956 0.000 2.956
2.956 2.956 0.000
Zn Co Si Mo
1 1 1 1
Direct
0.000 0.000 0.000
0.750 0.750 0.750
0.500 0.500 0.500
0.250 0.250 0.250
```

ZnCoSiMo | PBE-GGA | optimized geometry

Output
- Symmetry: F-43m
- ΔE to the lowest computed polymorph: 235 meV per atom
- Total moment: 1.91 μB per formula unit

```
ZnCoSiMo
1.0
0.000 2.975 2.975
2.975 0.000 2.975
2.975 2.975 0.000
Zn Co Si Mo
1 1 1 1
Direct
0.000 0.000 0.000
0.500 0.500 0.500
0.250 0.250 0.250
0.750 0.750 0.750
```

SmCoMo | PBE-GGA | optimized geometry

Output
- DFT formation energy: 1.52 eV/atom
- Symmetry: F-43m
- Total moment: 3.00 μB per formula unit

```
SmCoMo
1.0
0.000 3.148 3.148
3.148 0.000 3.148
3.148 3.148 0.000
Sm Co Mo
1 1 1
Direct
0.000 0.000 0.000
0.750 0.750 0.750
0.250 0.250 0.250
```

CoSnMo2 | PBE-GGA | optimized geometry

Output
- Symmetry: F-43m
- Final energy: -31.81 eV/cell
- Total moment: 1.08 μB per formula unit

```
CoSnMo2
1.0
0.000 3.153 3.153
3.153 0.000 3.153
3.153 3.153 0.000
Co Sn Mo
1 1 2
Direct
0.000 0.000 0.000
0.750 0.750 0.750
0.250 0.250 0.250
0.500 0.500 0.500
```

Co2SnMo | PBE-GGA | optimized geometry

Output
- Symmetry: F-43m
- Final energy: -27.83 eV/cell
- Total moment: 0.16 μB per formula unit

```
Co2SnMo
1.0
0.000 3.052 3.052
3.052 0.000 3.052
3.052 3.052 0.000
Co Sn Mo
2 1 1
Direct
0.000 0.000 0.000
0.250 0.250 0.250
0.500 0.500 0.500
0.750 0.750 0.750
```

TaCoSnMo | PBE-GGA | optimized geometry

Output
- Symmetry: F-43m
- ΔE to the lowest computed polymorph: 0 meV per atom
- Total moment: 0.00 μB per formula unit

```
TaCoSnMo
1.0
0.000 3.180 3.180
3.180 0.000 3.180
3.180 3.180 0.000
Ta Co Sn Mo
1 1 1 1
Direct
0.000 0.000 0.000
0.750 0.750 0.750
0.500 0.500 0.500
0.250 0.250 0.250
```